[1]
Computed, not measured: a PBEsol-optimized structure of TcTeW2 at the meta-GGA SCAN level of DFT.

a b c (Å): 3.1953 4.7232 9.1427
angles (deg): 90.00 90.00 90.00
Last column: nearest neighbours and their distance in Å.
Space group Cmm2 (No. 35)
One atom of each set of equivalent atoms:
Tc 0.0000 0.0000 0.0000 [2 per cell]  2 W 2.57, 4 Tc 2.85
Te 0.0000 0.5000 0.7292 [2 per cell]  4 Te 2.85, 2 Tc 2.95, 2 W 3.00
W 0.0000 0.0000 0.4518 [2 per cell]  6 W 2.65-2.85
W 0.0000 0.5000 0.2207 [2 per cell]  2 Tc 2.57, 6 W 2.65-2.85

Calculated values
Total energy ... -417.96 eV per cell
Uncorrected formation energy ... 0.68 eV per atom
Distance to the lowest polymorph of the same formula ... 52.3 kJ/mol of formula units

=====

[2]
Computed, not measured: a PBEsol-optimized structure of TcTeW2 at the meta-GGA SCAN level of DFT.

a b c (Å): 3.1624 4.4804 4.5971
angles (deg): 90.00 90.00 90.00
Last column: nearest neighbours and their distance in Å.
Space group Pmmm (No. 47)
One atom of each set of equivalent atoms:
Tc 0.0000 0.0000 0.0000 [1 per cell]  4 Te 2.74, 4 W 2.79
Te 0.5000 0.5000 0.0000 [1 per cell]  4 Tc 2.74, 4 W 2.79
W 0.0000 0.5000 0.5000 [1 per cell]  4 W 2.74, 4 Te 2.79
W 0.5000 0.0000 0.5000 [1 per cell]  4 W 2.74, 4 Tc 2.79

Calculated values
Total energy ... -209.52 eV per cell
Uncorrected formation energy ... 0.54 eV per atom
Distance to the lowest polymorph of the same formula ... 0.0 kJ/mol of formula units

=====

[3]
Computed, not measured: a PBEsol-optimized structure of TcTeW2 at the meta-GGA SCAN level of DFT.

a b c (Å): 3.0337 4.1368 5.3148
angles (deg): 90.00 90.00 90.00
Last column: nearest neighbours and their distance in Å.
Space group Pmm2 (No. 25)
One atom of each set of equivalent atoms:
Tc 0.0000 0.0000 0.0000 [1 per cell]  1 W 2.46
Te 0.5000 0.5000 0.2533 [1 per cell]  2 W 2.64-2.68, 4 Tc 2.90
W 0.0000 0.0000 0.5364 [1 per cell]  1 Tc 2.46
W 0.5000 0.5000 0.7570 [1 per cell]  2 Te 2.64-2.68, 4 W 2.82, 4 Tc 2.87

Calculated values
Total energy ... -209.28 eV per cell
Uncorrected formation energy ... 0.60 eV per atom
Distance to the lowest polymorph of the same formula ... 23.2 kJ/mol of formula units

=====

[4]
Computed, not measured: a PBEsol-optimized structure of TcTeW at the meta-GGA SCAN level of DFT.

a b c (Å): 6.1370 6.1370 6.1370
angles (deg): 90.00 90.00 90.00
Last column: nearest neighbours and their distance in Å.
Space group F-43m (No. 216)
One atom of each set of equivalent atoms:
Tc 0.0000 0.0000 0.0000 [4 per cell]  4 W 2.66
Te 0.0000 0.0000 0.5000 [4 per cell]  4 W 2.66
W 0.2500 0.2500 0.7500 [4 per cell]  4 Tc 2.66, 4 Te 2.66

Calculated values
Total energy ... -561.29 eV per cell
Uncorrected formation energy ... 0.56 eV per atom